Entry 1:
This record from Alexandria via LeMat-Bulk describes a relaxed structure of CoSiRuRh. The functional is PBE-GGA.

CIF file:
```
data_CoSiRuRh
_chemical_formula_sum 'Co4 Si4 Ru4 Rh4'
_cell_length_a 5.890
_cell_length_b 5.890
_cell_length_c 5.890
_cell_angle_alpha 90.00
_cell_angle_beta 90.00
_cell_angle_gamma 90.00
_symmetry_space_group_name_H-M 'F -4 3 m'
_symmetry_Int_Tables_number 216
_symmetry_space_group_name_Hall 'F -4 2 3'
loop_
_atom_site_label
_atom_site_type_symbol
_atom_site_fract_x
_atom_site_fract_y
_atom_site_fract_z
Co1 Co 0.000 0.000 0.000
Si1 Si 0.000 0.000 0.500
Ru1 Ru 0.250 0.250 0.250
Rh1 Rh 0.250 0.250 0.750
```

Formation energy (no corrections) (eV/atom): -0.322
E (eV/atom): -7.611

=====

Entry 2:
This record from Alexandria via LeMat-Bulk describes a relaxed structure of CoSnRuRh. The functional is PBE-GGA.

CIF file:
```
data_CoSnRuRh
_chemical_formula_sum 'Co4 Sn4 Ru4 Rh4'
_cell_length_a 6.207
_cell_length_b 6.207
_cell_length_c 6.207
_cell_angle_alpha 90.00
_cell_angle_beta 90.00
_cell_angle_gamma 90.00
_symmetry_space_group_name_H-M 'F -4 3 m'
_symmetry_Int_Tables_number 216
_symmetry_space_group_name_Hall 'F -4 2 3'
loop_
_atom_site_label
_atom_site_type_symbol
_atom_site_fract_x
_atom_site_fract_y
_atom_site_fract_z
Co1 Co 0.000 0.000 0.000
Sn1 Sn 0.000 0.000 0.500
Ru1 Ru 0.250 0.250 0.750
Rh1 Rh 0.250 0.250 0.250
```

E (eV/atom): -6.970

=====

Entry 3:
This record from Alexandria via LeMat-Bulk describes a relaxed structure of TaCoRuRh. The functional is PBE-GGA.

CIF file:
```
data_TaCoRuRh
_chemical_formula_sum 'Ta4 Co4 Ru4 Rh4'
_cell_length_a 6.151
_cell_length_b 6.151
_cell_length_c 6.151
_cell_angle_alpha 90.00
_cell_angle_beta 90.00
_cell_angle_gamma 90.00
_symmetry_space_group_name_H-M 'F -4 3 m'
_symmetry_Int_Tables_number 216
_symmetry_space_group_name_Hall 'F -4 2 3'
loop_
_atom_site_label
_atom_site_type_symbol
_atom_site_fract_x
_atom_site_fract_y
_atom_site_fract_z
Ta1 Ta 0.000 0.000 0.000
Co1 Co 0.000 0.000 0.500
Ru1 Ru 0.250 0.250 0.750
Rh1 Rh 0.250 0.250 0.250
```

Energy relative to the lowest polymorph listed for this composition (kJ/mol of formula units): 71
E (eV/atom): -9.045

=====

Entry 4:
This record from Alexandria via LeMat-Bulk describes a relaxed structure of TaCoRuRh. The functional is PBE-GGA.

CIF file:
```
data_TaCoRuRh
_chemical_formula_sum 'Ta1 Co1 Ru1 Rh1'
_cell_length_a 3.776
_cell_length_b 3.830
_cell_length_c 3.865
_cell_angle_alpha 90.00
_cell_angle_beta 90.00
_cell_angle_gamma 90.00
_symmetry_space_group_name_H-M 'P m m m'
_symmetry_Int_Tables_number 47
_symmetry_space_group_name_Hall '-P 2 2'
loop_
_atom_site_label
_atom_site_type_symbol
_atom_site_fract_x
_atom_site_fract_y
_atom_site_fract_z
Ta1 Ta 0.000 0.000 0.000
Co1 Co 0.000 0.500 0.500
Ru1 Ru 0.500 0.500 0.000
Rh1 Rh 0.500 0.000 0.500
```

Energy relative to the lowest polymorph listed for this composition (kJ/mol of formula units): 0
E (eV/atom): -9.228

=====

Entry 5:
This record from Alexandria via LeMat-Bulk describes a relaxed structure of CoTc2RuRh. The functional is PBE-GGA.

CIF file:
```
data_CoTc2RuRh
_chemical_formula_sum 'Co1 Tc2 Ru1 Rh1'
_cell_length_a 4.292
_cell_length_b 4.292
_cell_length_c 4.419
_cell_angle_alpha 90.00
_cell_angle_beta 90.00
_cell_angle_gamma 90.00
_symmetry_space_group_name_H-M 'P 4/m m m'
_symmetry_Int_Tables_number 123
_symmetry_space_group_name_Hall '-P 4 2'
loop_
_atom_site_label
_atom_site_type_symbol
_atom_site_fract_x
_atom_site_fract_y
_atom_site_fract_z
Co1 Co 0.000 0.000 0.000
Tc1 Tc 0.000 0.500 0.000
Ru1 Ru 0.500 0.500 0.500
Rh1 Rh 0.000 0.000 0.500
```

E (eV/atom): -7.465

=====

Entry 6:
This record from Alexandria via LeMat-Bulk describes a relaxed structure of CoTeRuRh2. The functional is PBE-GGA.

CIF file:
```
data_CoTeRuRh2
_chemical_formula_sum 'Co1 Te1 Ru1 Rh2'
_cell_length_a 4.518
_cell_length_b 4.518
_cell_length_c 4.505
_cell_angle_alpha 90.00
_cell_angle_beta 90.00
_cell_angle_gamma 90.00
_symmetry_space_group_name_H-M 'P 4/m m m'
_symmetry_Int_Tables_number 123
_symmetry_space_group_name_Hall '-P 4 2'
loop_
_atom_site_label
_atom_site_type_symbol
_atom_site_fract_x
_atom_site_fract_y
_atom_site_fract_z
Co1 Co 0.000 0.000 0.000
Te1 Te 0.500 0.500 0.500
Ru1 Ru 0.000 0.000 0.500
Rh1 Rh 0.000 0.500 0.000
```

Energy relative to the lowest polymorph listed for this composition (kJ/mol of formula units): 0
Formation energy (no corrections) (eV/atom): 0.980
E (eV/atom): -5.865

=====

Entry 7:
This record from Alexandria via LeMat-Bulk describes a relaxed structure of TiCoRuRh. The functional is PBE-GGA.

CIF file:
```
data_TiCoRuRh
_chemical_formula_sum 'Ti4 Co4 Ru4 Rh4'
_cell_length_a 6.054
_cell_length_b 6.054
_cell_length_c 6.054
_cell_angle_alpha 90.00
_cell_angle_beta 90.00
_cell_angle_gamma 90.00
_symmetry_space_group_name_H-M 'F -4 3 m'
_symmetry_Int_Tables_number 216
_symmetry_space_group_name_Hall 'F -4 2 3'
loop_
_atom_site_label
_atom_site_type_symbol
_atom_site_fract_x
_atom_site_fract_y
_atom_site_fract_z
Ti1 Ti 0.000 0.000 0.000
Co1 Co 0.000 0.000 0.500
Ru1 Ru 0.250 0.250 0.250
Rh1 Rh 0.250 0.250 0.750
```

E (eV/atom): -8.161

=====

Entry 8:
This record from Alexandria via LeMat-Bulk describes a relaxed structure of UCoRuRh. The functional is PBE-GGA.

CIF file:
```
data_UCoRuRh
_chemical_formula_sum 'U1 Co1 Ru1 Rh1'
_cell_length_a 3.892
_cell_length_b 3.895
_cell_length_c 4.021
_cell_angle_alpha 90.00
_cell_angle_beta 90.00
_cell_angle_gamma 90.00
_symmetry_space_group_name_H-M 'P m m m'
_symmetry_Int_Tables_number 47
_symmetry_space_group_name_Hall '-P 2 2'
loop_
_atom_site_label
_atom_site_type_symbol
_atom_site_fract_x
_atom_site_fract_y
_atom_site_fract_z
U1 U 0.000 0.000 0.000
Co1 Co 0.500 0.000 0.500
Ru1 Ru 0.500 0.500 0.000
Rh1 Rh 0.000 0.500 0.500
```

E (eV/atom): -9.164

=====

Entry 9:
This record from Alexandria via LeMat-Bulk describes a relaxed structure of Co2RhS4. The functional is PBE-GGA.

CIF file:
```
data_Co2RhS4
_chemical_formula_sum 'Co4 Rh2 S8'
_cell_length_a 11.825
_cell_length_b 3.379
_cell_length_c 5.813
_cell_angle_alpha 90.00
_cell_angle_beta 116.86
_cell_angle_gamma 90.00
_symmetry_space_group_name_H-M 'C 1 2/m 1'
_symmetry_Int_Tables_number 12
_symmetry_space_group_name_Hall '-C 2y'
loop_
_atom_site_label
_atom_site_type_symbol
_atom_site_fract_x
_atom_site_fract_y
_atom_site_fract_z
Co1 Co 0.232 0.000 0.211
Rh1 Rh 0.000 0.500 0.500
S1 S 0.130 0.500 0.960
S2 S 0.142 0.000 0.483
```

Energy relative to the lowest polymorph listed for this composition (kJ/mol of formula units): 29
Formation energy (no corrections) (eV/atom): -0.379
E (eV/atom): -5.818

=====

Entry 10:
This record from Alexandria via LeMat-Bulk describes a relaxed structure of CoRhS4. The functional is PBE-GGA.

CIF file:
```
data_CoRhS4
_chemical_formula_sum 'Co2 Rh2 S8'
_cell_length_a 5.658
_cell_length_b 5.639
_cell_length_c 5.636
_cell_angle_alpha 90.00
_cell_angle_beta 90.18
_cell_angle_gamma 90.00
_symmetry_space_group_name_H-M 'P 1 21/c 1'
_symmetry_Int_Tables_number 14
_symmetry_space_group_name_Hall '-P 2ybc'
loop_
_atom_site_label
_atom_site_type_symbol
_atom_site_fract_x
_atom_site_fract_y
_atom_site_fract_z
Co1 Co 0.000 0.000 0.000
Rh1 Rh 0.500 0.000 0.500
S1 S 0.103 0.113 0.387
S2 S 0.382 0.607 0.392
```

Formation energy (no corrections) (eV/atom): -0.368
E (eV/atom): -5.529

=====

Entry 11:
This record from Alexandria via LeMat-Bulk describes a relaxed structure of Co4RhS8. The functional is PBE-GGA.

CIF file:
```
data_Co4RhS8
_chemical_formula_sum 'Co8 Rh2 S16'
_cell_length_a 10.334
_cell_length_b 6.730
_cell_length_c 7.717
_cell_angle_alpha 90.00
_cell_angle_beta 131.15
_cell_angle_gamma 90.00
_symmetry_space_group_name_H-M 'C 1 2/m 1'
_symmetry_Int_Tables_number 12
_symmetry_space_group_name_Hall '-C 2y'
loop_
_atom_site_label
_atom_site_type_symbol
_atom_site_fract_x
_atom_site_fract_y
_atom_site_fract_z
Co1 Co 0.000 0.233 0.000
Co2 Co 0.229 0.000 0.490
Rh1 Rh 0.000 0.500 0.500
S1 S 0.018 0.500 0.828
S2 S 0.037 0.000 0.836
S3 S 0.223 0.256 0.670
```

Formation energy (no corrections) (eV/atom): -0.370
E (eV/atom): -5.662

=====

Entry 12:
This record from Alexandria via LeMat-Bulk describes a relaxed structure of CoRh2S. The functional is PBE-GGA.

CIF file:
```
data_CoRh2S
_chemical_formula_sum 'Co4 Rh8 S4'
_cell_length_a 5.314
_cell_length_b 5.314
_cell_length_c 10.432
_cell_angle_alpha 90.00
_cell_angle_beta 90.00
_cell_angle_gamma 90.00
_symmetry_space_group_name_H-M 'I -4 2 d'
_symmetry_Int_Tables_number 122
_symmetry_space_group_name_Hall 'I -4 2bw'
loop_
_atom_site_label
_atom_site_type_symbol
_atom_site_fract_x
_atom_site_fract_y
_atom_site_fract_z
Co1 Co 0.000 0.000 0.000
Rh1 Rh 0.229 0.250 0.625
S1 S 0.000 0.000 0.500
```

Formation energy (no corrections) (eV/atom): 0.403
E (eV/atom): -6.081